MnFeSnF6: relaxed, PBE with a Hubbard U.

Computed properties:
For the magnetization, the calculation gives 1.000 μB per atom. As for the total DFT energy (no corrections): -5.48 eV/atom.

Cell: 5.5830 5.5830 10.2238 Å, 90.00 90.00 120.00°
Fractional coordinates of all 18 atoms:
1 Mn 0.3333 0.6667 0.2500
2 Mn 0.6667 0.3333 0.7500
3 Fe 0.3333 0.6667 0.7500
4 Fe 0.6667 0.3333 0.2500
5 Sn 0.0000 0.0000 0.0000
6 Sn 0.0000 0.0000 0.5000
7 F 0.0061 0.3586 0.6394
8 F 0.0061 0.6476 0.8606
9 F 0.3524 0.3586 0.8606
10 F 0.3524 0.9939 0.6394
11 F 0.3586 0.0061 0.1394
12 F 0.3586 0.3524 0.3606
13 F 0.6414 0.6476 0.6394
14 F 0.6414 0.9939 0.8606
15 F 0.6476 0.0061 0.3606
16 F 0.6476 0.6414 0.1394
17 F 0.9939 0.3524 0.1394
18 F 0.9939 0.6414 0.3606